Record 1
GGA-PBE LaCuSe2, relaxed; symmetry = No. 65; formation energy (no corrections) = -851 meV per atom
1.0
3.7746 -0.0268 0.0000
-1.2425 3.5643 0.0000
0.0000 0.0000 7.1257
Cu La Se
1 1 2
direct
0.5000 0.5000 0.2500
0.5000 0.5000 0.7500
0.0000 0.0000 0.0198
0.0000 0.0000 0.4802



Record 2
GGA-PBE NdTmAlZn, relaxed; formation energy = -0.3584 eV/atom; symmetry = No. 99; excess energy over the best structure of this formula in the dataset = 0.0000 eV/atom
1.0
3.6021 0.0000 0.0000
0.0000 3.6021 0.0000
0.0000 0.0000 7.3457
Nd Tm Al Zn
1 1 1 1
direct
0.0000 0.0000 0.8557
0.0000 0.0000 0.3647
0.5000 0.5000 0.1264
0.5000 0.5000 0.5812